[1]
{"formula": "HgTeNF2", "functional": "PBE-GGA", "state": "relaxed", "magnetic_moment_mub_per_fu": 0.994, "crystal_system": "tetragonal", "e_above_lowest_polymorph_ev_per_fu": 2.93, "lattice_angstrom": [[-1.269, 3.029, 2.987], [-0.178, -3.152, 3.121], [4.295, 0.781, 1.034]], "species": ["N", "Te", "Hg", "F", "F"], "frac_coords": [[0.000, 0.000, 0.500], [0.500, 0.500, 0.500], [0.000, 0.000, 0.000], [0.000, 0.500, 0.000], [0.500, 0.000, 0.000]]}

=====

[2]
{"formula": "HgTeNF2", "functional": "PBE-GGA", "state": "relaxed", "magnetic_moment_mub_per_fu": 0.000, "crystal_system": "tetragonal", "e_above_lowest_polymorph_ev_per_fu": 0.00, "lattice_angstrom": [[-2.555, 3.755, -0.574], [-3.785, -2.458, 0.769], [0.292, 0.819, 4.057]], "species": ["N", "Te", "Hg", "F", "F"], "frac_coords": [[0.000, 0.000, 0.500], [0.000, 0.000, 0.000], [0.500, 0.500, 0.500], [0.000, 0.500, 0.000], [0.500, 0.000, 0.000]]}

=====

[3]
{"formula": "TiHgN2F", "functional": "PBE-GGA", "state": "relaxed", "magnetic_moment_mub_per_fu": 0.253, "crystal_system": "tetragonal", "e_above_lowest_polymorph_ev_per_fu": 8.03, "lattice_angstrom": [[4.148, 0.000, 0.000], [0.000, 4.148, 0.000], [0.000, 0.000, 4.305]], "species": ["N", "N", "F", "Hg", "Ti"], "frac_coords": [[0.000, 0.500, 0.000], [0.500, 0.000, 0.000], [0.000, 0.000, 0.500], [0.000, 0.000, 0.000], [0.500, 0.500, 0.500]]}

=====

[4]
{"formula": "TiHgN2F", "functional": "PBE-GGA", "state": "relaxed", "magnetic_moment_mub_per_fu": 0.338, "crystal_system": "tetragonal", "e_above_lowest_polymorph_ev_per_fu": 0.00, "lattice_angstrom": [[4.033, 0.000, 0.000], [0.000, 4.033, 0.000], [0.000, 0.000, 3.945]], "species": ["N", "N", "F", "Hg", "Ti"], "frac_coords": [[0.000, 0.500, 0.000], [0.500, 0.000, 0.000], [0.000, 0.000, 0.500], [0.500, 0.500, 0.500], [0.000, 0.000, 0.000]]}

=====

[5]
{"formula": "TlHgN2F", "functional": "PBE-GGA", "state": "relaxed", "magnetic_moment_mub_per_fu": 2.540, "crystal_system": "tetragonal", "e_above_lowest_polymorph_ev_per_fu": 0.71, "lattice_angstrom": [[4.435, 0.000, 0.000], [0.000, 4.435, 0.000], [0.000, 0.000, 4.556]], "species": ["Tl", "N", "N", "Hg", "F"], "frac_coords": [[0.000, 0.000, 0.000], [0.000, 0.500, 0.000], [0.500, 0.000, 0.000], [0.500, 0.500, 0.500], [0.000, 0.000, 0.500]]}

=====

[6]
{"formula": "TlHgN2F", "functional": "PBE-GGA", "state": "relaxed", "magnetic_moment_mub_per_fu": 3.462, "crystal_system": "tetragonal", "e_above_lowest_polymorph_ev_per_fu": 0.00, "lattice_angstrom": [[-3.861, -0.634, -1.866], [1.614, -3.372, -2.194], [-1.323, -3.100, 3.791]], "species": ["Tl", "N", "N", "Hg", "F"], "frac_coords": [[0.500, 0.500, 0.500], [0.000, 0.500, 0.000], [0.500, 0.000, 0.000], [0.000, 0.000, 0.000], [0.000, 0.000, 0.500]]}

=====

Number 1: DFT total energy -2.780 eV per atom. Number 2: DFT total energy -3.365 eV per atom. Number 3: DFT total energy -4.151 eV per atom. Number 4: DFT total energy -5.758 eV per atom. Number 5: DFT total energy -3.093 eV per atom. Number 6: DFT total energy -3.235 eV per atom.